This record from Alexandria via LeMat-Bulk describes TaOs3 after structural relaxation. The functional is PBE-GGA.

Summary:
The total energy comes out at -46.10 eV per formula unit. Its magnetization is 0.000 μB per formula unit. Its crystal system is orthorhombic. The volume comes out at 60.5 Å³/cell. Its density of states at the Fermi level is 1.85 states/eV per cell. The formation energy from the elements comes out at -0.140 eV/atom.

Geometry as POSCAR:
```
TaOs3
1.0
-3.5210 -3.3699 2.0000
-0.0694 -4.8065 -2.1556
2.5764 3.6947 2.7323
Os Ta
3 1
Direct
0.7520 0.7542 0.9978
0.2435 0.2458 0.9978
0.1674 0.5000 0.6674
0.6704 0.0000 0.6704
```


This record from Alexandria via LeMat-Bulk describes CaLaTmTl after structural relaxation. The functional is PBE-GGA.

Summary:
The total energy comes out at -14.04 eV per formula unit. Its magnetization is 0.000 μB per formula unit. Its crystal system is cubic. The volume comes out at 124.8 Å³/cell. Its density of states at the Fermi level is 3.55 states/eV per cell. The formation energy from the elements comes out at -0.068 eV/atom.

Geometry as POSCAR:
```
CaLaTmTl
1.0
5.6095 0.0000 0.0000
2.8048 4.8580 0.0000
2.8048 1.6193 4.5801
Tl Tm Ca La
1 1 1 1
Direct
0.0000 0.0000 0.0000
0.2500 0.2500 0.2500
0.5000 0.5000 0.5000
0.7500 0.7500 0.7500
```


This record from Alexandria via LeMat-Bulk describes Tm5SnPd after structural relaxation. The functional is PBE-GGA.

Summary:
The total energy comes out at -33.63 eV per formula unit. Its magnetization is 0.000 μB per formula unit. Its crystal system is monoclinic. The volume comes out at 392.3 Å³/cell. Its density of states at the Fermi level is 15.80 states/eV per cell. The formation energy from the elements comes out at -0.296 eV/atom.

Geometry as POSCAR:
```
Tm5SnPd
1.0
6.3842 0.4995 -0.3821
2.4992 5.8959 -0.3821
3.0729 2.2123 10.5149
Tm Sn Pd
10 2 2
Direct
0.9495 0.6013 0.1462
0.2232 0.5263 0.5435
0.6013 0.9495 0.6462
0.9590 0.0410 0.2500
0.4737 0.7768 0.9565
0.5263 0.2232 0.0435
0.0410 0.9590 0.7500
0.3987 0.0505 0.3538
0.7768 0.4737 0.4565
0.0505 0.3987 0.8538
0.4541 0.5459 0.2500
0.5459 0.4541 0.7500
0.0000 0.0000 0.0000
0.0000 0.0000 0.5000
```


This record from Alexandria via LeMat-Bulk describes NaSr2Mg2Cd5 after structural relaxation. The functional is PBE-GGA.

Summary:
The total energy comes out at -14.14 eV per formula unit. Its magnetization is 0.000 μB per formula unit. Its crystal system is tetragonal. The volume comes out at 552.9 Å³/cell. Its density of states at the Fermi level is 9.83 states/eV per cell. The formation energy from the elements comes out at -0.169 eV/atom.

Geometry as POSCAR:
```
NaSr2Mg2Cd5
1.0
4.1126 0.0000 0.0000
0.0000 11.5952 0.0000
0.0000 0.0000 11.5952
Na Sr Mg Cd
2 4 4 10
Direct
0.0000 0.0000 0.0000
0.0000 0.5000 0.5000
0.0000 0.6764 0.1764
0.0000 0.3236 0.8236
0.0000 0.1764 0.3236
0.0000 0.8236 0.6764
0.0000 0.1232 0.6232
0.0000 0.8768 0.3768
0.0000 0.6232 0.8768
0.0000 0.3768 0.1232
0.5000 0.1990 0.0594
0.5000 0.8010 0.9406
0.5000 0.0594 0.8010
0.5000 0.6990 0.4406
0.5000 0.9406 0.1990
0.5000 0.3010 0.5594
0.5000 0.5594 0.6990
0.5000 0.4406 0.3010
0.5000 0.5000 0.0000
0.5000 0.0000 0.5000
```


This record from Alexandria via LeMat-Bulk describes CuNiRh2 after structural relaxation. The functional is PBE-GGA.

Summary:
The total energy comes out at -23.87 eV per formula unit. Its magnetization is 1.619 μB per formula unit. Its crystal system is orthorhombic. The volume comes out at 53.3 Å³/cell. Its density of states at the Fermi level is 7.09 states/eV per cell. The formation energy from the elements comes out at 0.179 eV/atom.

Geometry as POSCAR:
```
CuNiRh2
1.0
2.6274 -0.0012 0.0000
-1.2253 2.3242 0.0000
0.0000 0.0000 8.7283
Cu Ni Rh
1 1 2
Direct
0.5000 0.5000 0.2500
0.5000 0.5000 0.7500
0.0000 0.0000 0.9958
0.0000 0.0000 0.5042
```


This record from Alexandria via LeMat-Bulk describes Tb5PrTm4 after structural relaxation. The functional is PBE-GGA.

Summary:
The total energy comes out at -42.75 eV per formula unit. Its magnetization is 0.000 μB per formula unit. Its crystal system is tetragonal. The distance to the lowest polymorph of the same formula is 286 meV per atom. The volume comes out at 325.0 Å³/cell. Its density of states at the Fermi level is 14.24 states/eV per cell. The formation energy from the elements comes out at 0.307 eV/atom.

Geometry as POSCAR:
```
Tb5PrTm4
1.0
6.3126 0.0000 0.0000
3.1563 7.1757 0.0000
3.1563 0.0000 7.1757
Tb Pr Tm
5 1 4
Direct
0.8052 0.3800 0.9088
0.1852 0.9088 0.6200
0.7140 0.0912 0.3800
0.0940 0.6200 0.0912
0.6778 0.0000 0.0000
0.2220 0.0000 0.0000
0.4017 0.4010 0.7017
0.8026 0.7017 0.5990
0.1034 0.2983 0.4010
0.5043 0.5990 0.2983
```


This record from Alexandria via LeMat-Bulk describes ThZnPt after structural relaxation. The functional is PBE-GGA.

Summary:
The total energy comes out at -17.29 eV per formula unit. Its magnetization is 0.000 μB per formula unit. Its crystal system is hexagonal. The volume comes out at 64.1 Å³/cell. Its density of states at the Fermi level is 1.83 states/eV per cell. The formation energy from the elements comes out at -0.851 eV/atom.

Geometry as POSCAR:
```
ThZnPt
1.0
3.6163 0.0000 0.0000
0.0000 4.5255 0.0000
0.0000 -2.2628 3.9192
Zn Pt Th
1 1 1
Direct
0.1667 0.0000 0.0000
0.1668 0.3333 0.6667
0.6665 0.6667 0.3333
```


This record from Alexandria via LeMat-Bulk describes Cs2KRbLi after structural relaxation. The functional is PBE-GGA.

Summary:
The total energy comes out at -5.06 eV per formula unit. Its magnetization is 0.000 μB per formula unit. Its crystal system is tetragonal. The distance to the lowest polymorph of the same formula is 0 meV per atom. The volume comes out at 443.5 Å³/cell. Its density of states at the Fermi level is 4.00 states/eV per cell. The formation energy from the elements comes out at 0.126 eV/atom.

Geometry as POSCAR:
```
Cs2KRbLi
1.0
-0.4472 7.5952 1.8099
-7.4054 0.1620 -2.5096
-2.2945 -1.7221 6.6597
Cs K Rb Li
2 1 1 1
Direct
0.0000 0.5000 0.0000
0.5000 0.0000 0.0000
0.0000 0.0000 0.5000
0.5000 0.5000 0.5000
0.0000 0.0000 0.0000
```


This record from Alexandria via LeMat-Bulk describes CsTmBS4 after structural relaxation. The functional is PBE-GGA.

Summary:
The total energy comes out at -36.58 eV per formula unit. Its magnetization is 0.001 μB per formula unit. Its formation energy from raw total energies is -779 kJ/mol of formula units. Its crystal system is monoclinic. The volume comes out at 342.5 Å³/cell. Its density of states at the Fermi level is 3.39 states/eV per cell.

Geometry as POSCAR:
```
CsTmBS4
1.0
6.5515 0.0000 0.1704
0.0000 5.5165 0.0000
-2.2867 0.0000 9.4163
Cs Tm B S
2 2 2 8
Direct
0.7485 0.7500 0.9655
0.2515 0.2500 0.0345
0.7511 0.7500 0.4517
0.2489 0.2500 0.5483
0.2563 0.7500 0.3446
0.7437 0.2500 0.6554
0.9724 0.4946 0.6918
0.0276 0.9946 0.3082
0.0276 0.5054 0.3082
0.9724 0.0054 0.6918
0.4408 0.7500 0.2203
0.5592 0.2500 0.7797
0.3819 0.7500 0.5418
0.6181 0.2500 0.4582
```


This record from Alexandria via LeMat-Bulk describes TaCdN2F after structural relaxation. The functional is PBE-GGA.

Summary:
The total energy comes out at -24.91 eV per formula unit. Its magnetization is 1.077 μB per formula unit. Its formation energy from raw total energies is 615 kJ/mol of formula units. Its crystal system is tetragonal. The distance to the lowest polymorph of the same formula is 1929 meV per atom. The volume comes out at 69.4 Å³/cell. Its density of states at the Fermi level is 4.58 states/eV per cell.

Geometry as POSCAR:
```
TaCdN2F
1.0
4.1612 0.0000 0.0000
0.0000 4.1612 0.0000
0.0000 0.0000 4.0107
N F Cd Ta
2 1 1 1
Direct
0.0000 0.5000 0.0000
0.5000 0.0000 0.0000
0.0000 0.0000 0.5000
0.0000 0.0000 0.0000
0.5000 0.5000 0.5000
```


This record from Alexandria via LeMat-Bulk describes K2PbS2O6 after structural relaxation. The functional is PBE-GGA.

Summary:
The total energy comes out at -60.71 eV per formula unit. Its magnetization is 0.000 μB per formula unit. Its formation energy from raw total energies is -1622 kJ/mol of formula units. Its crystal system is monoclinic. The volume comes out at 192.5 Å³/cell. Its density of states at the Fermi level is 0.00 states/eV per cell.

Geometry as POSCAR:
```
K2PbS2O6
1.0
-0.4411 5.6931 0.1198
-0.0591 -2.7643 -5.0000
-6.5924 -0.5882 3.6764
K Pb S O
2 1 2 6
Direct
0.7024 0.4049 0.1078
0.2976 0.5951 0.8922
0.5000 0.0000 0.5000
0.8905 0.7810 0.6705
0.1095 0.2190 0.3295
0.7767 0.5534 0.7603
0.2232 0.0151 0.2392
0.2081 0.9849 0.7608
0.7768 0.9849 0.7608
0.7919 0.0151 0.2392
0.2233 0.4466 0.2397
```


This record from Alexandria via LeMat-Bulk describes NaTl2TeO4 after structural relaxation. The functional is PBE-GGA.

Summary:
The total energy comes out at -35.20 eV per formula unit. Its magnetization is 0.000 μB per formula unit. Its formation energy from raw total energies is -596 kJ/mol of formula units. Its crystal system is orthorhombic. The volume comes out at 382.1 Å³/cell. Its density of states at the Fermi level is 8.03 states/eV per cell.

Geometry as POSCAR:
```
NaTl2TeO4
1.0
6.1847 0.0000 0.0000
3.0924 6.2258 0.0000
3.0924 0.0000 9.9246
Na Tl Te O
2 4 2 8
Direct
0.7500 0.5000 0.5000
0.0000 0.0000 0.0000
0.1941 0.0000 0.6118
0.8059 0.0000 0.3882
0.5559 0.5000 0.8882
0.9441 0.5000 0.1118
0.2500 0.5000 0.5000
0.5000 0.0000 0.0000
0.3572 0.7984 0.0740
0.2297 0.2016 0.9260
0.8443 0.7984 0.9260
0.5688 0.2016 0.0740
0.3928 0.7016 0.4260
0.5203 0.2984 0.5740
0.9057 0.7016 0.5740
0.1812 0.2984 0.4260
```